--- P ---
Here is a relaxed structure of ErCdAg3 from the Alexandria database. Energies are from PBE.

Geometry as extended XYZ:
```
10
Lattice="-0.752 4.460 2.144 -2.062 -2.816 5.136 5.879 2.153 3.541" Properties=species:S:1:pos:R:3 pbc="T T T"
Er -0.329 1.211 6.163
Er 3.393 2.586 4.657
Cd 2.733 1.164 7.366
Cd 0.331 2.633 3.454
Ag -1.421 -1.699 5.982
Ag 4.486 5.497 4.838
Ag -0.403 -0.309 3.446
Ag 3.468 4.107 7.374
Ag 0.750 3.415 7.804
Ag 2.315 0.383 3.016
```

As for the total magnetic moment: 0.000 μB/f.u. The theoretical density comes out at 9.59 g/cm3.



--- Q ---
Here is a relaxed structure of ErCdAg3 from the Alexandria database. Energies are from PBE.

Geometry as extended XYZ:
```
10
Lattice="-4.563 -1.097 -2.152 0.655 -4.888 1.116 -5.863 0.519 5.708" Properties=species:S:1:pos:R:3 pbc="T T T"
Er -3.672 -5.131 -1.004
Er -5.591 -1.909 2.801
Cd -1.282 -2.011 -0.164
Cd -3.418 -3.932 4.113
Ag -2.532 -1.578 2.457
Ag -8.564 -2.242 3.061
Ag -5.077 -4.707 1.689
Ag -4.186 -2.332 0.109
Ag -2.167 -4.365 1.493
Ag -6.562 -4.279 4.444
```

As for the total magnetic moment: 0.000 μB/f.u. The theoretical density comes out at 9.91 g/cm3.



Least stable structure: P



--- P ---
Here is a relaxed structure of ErCd8Ag2 from the Alexandria database. Energies are from PBE.

Geometry as extended XYZ:
```
11
Lattice="-2.131 3.318 3.406 -3.163 -4.310 2.220 8.036 -0.133 3.643" Properties=species:S:1:pos:R:3 pbc="T T T"
Er 0.000 0.000 0.000
Cd -0.677 0.310 3.331
Cd 5.035 0.765 4.804
Cd 0.423 -0.524 7.131
Cd 2.319 -0.601 2.138
Cd -2.292 -1.890 4.465
Cd 3.420 -1.436 5.938
Cd -0.470 -2.461 2.099
Cd 3.213 1.336 7.170
Ag 0.666 -1.953 4.704
Ag 2.076 0.828 4.565
```

As for the total magnetic moment: 0.000 μB/f.u. The theoretical density comes out at 8.53 g/cm3.



--- Q ---
Here is a relaxed structure of ErCd8Ag2 from the Alexandria database. Energies are from PBE.

Geometry as extended XYZ:
```
11
Lattice="-0.273 -5.271 -0.514 0.847 -3.383 7.320 -5.860 -1.448 4.500" Properties=species:S:1:pos:R:3 pbc="T T T"
Er -0.137 -2.636 -0.257
Cd -1.536 -5.201 1.231
Cd -4.456 -6.762 5.338
Cd 0.256 -2.958 2.778
Cd -2.364 -5.899 7.473
Cd -2.922 -4.202 3.832
Cd 0.317 -5.696 4.027
Cd -0.831 -3.339 5.967
Cd -3.751 -4.901 10.074
Ag -1.990 -1.598 3.982
Ag -3.024 -3.233 7.837
```

As for the total magnetic moment: 0.000 μB/f.u. The theoretical density comes out at 8.24 g/cm3.



Least stable structure: Q



--- P ---
Here is a relaxed structure of ErCd4Ag2 from the Alexandria database. Energies are from PBE.

Geometry as extended XYZ:
```
7
Lattice="4.891 0.003 2.618 2.284 5.201 1.613 -0.003 -0.405 5.891" Properties=species:S:1:pos:R:3 pbc="T T T"
Cd 4.794 2.756 8.687
Cd 2.378 2.043 1.435
Cd 5.688 4.949 7.013
Cd 1.484 -0.151 3.109
Ag 4.804 2.403 5.717
Ag 2.368 2.396 4.406
Er 7.172 4.799 10.122
```

As for the total magnetic moment: 0.000 μB/f.u. The theoretical density comes out at 9.18 g/cm3.



--- Q ---
Here is a relaxed structure of ErCd4Ag2 from the Alexandria database. Energies are from PBE.

Geometry as extended XYZ:
```
7
Lattice="4.130 0.000 0.000 0.000 4.265 0.000 0.000 -2.132 8.959" Properties=species:S:1:pos:R:3 pbc="T T T"
Er 0.000 0.000 0.000
Cd 2.065 2.132 5.761
Cd 0.000 2.132 3.307
Cd 2.065 0.000 3.198
Cd 0.000 0.000 5.652
Ag 2.065 2.132 1.323
Ag 2.065 0.000 7.636
```

As for the total magnetic moment: 0.000 μB/f.u. The theoretical density comes out at 8.76 g/cm3.



Least stable structure: Q



--- P ---
Here is a relaxed structure of ErCd6Ag6 from the Alexandria database. Energies are from PBE.

Geometry as extended XYZ:
```
13
Lattice="-2.149 -4.954 -1.732 5.549 1.034 -0.558 1.590 -3.774 8.823" Properties=species:S:1:pos:R:3 pbc="T T T"
Er 0.000 0.000 0.000
Cd 1.039 -2.466 5.764
Cd 0.551 -1.308 3.059
Cd 2.983 -0.962 -0.949
Cd 0.417 -2.958 -1.341
Cd 3.778 -2.849 3.462
Cd 1.212 -4.845 3.071
Ag 3.974 -2.331 6.380
Ag 0.125 -5.326 5.792
Ag 2.900 -4.809 5.514
Ag -0.685 -3.403 1.298
Ag 3.164 -0.409 1.886
Ag 2.090 -2.886 1.020
```

As for the total magnetic moment: 0.000 μB/f.u. The theoretical density comes out at 9.12 g/cm3.



--- Q ---
Here is a relaxed structure of ErCd6Ag6 from the Alexandria database. Energies are from PBE.

Geometry as extended XYZ:
```
13
Lattice="-2.637 -3.818 -3.129 4.699 -3.572 -4.607 -0.064 -6.736 3.269" Properties=species:S:1:pos:R:3 pbc="T T T"
Er 0.000 0.000 0.000
Cd 2.130 -8.073 -1.955
Cd -0.132 -6.054 -2.512
Cd 1.574 -5.649 0.561
Cd 3.062 -4.660 -1.899
Cd 0.062 -3.141 -1.224
Cd 1.936 -10.985 -3.242
Ag 2.350 -1.786 -2.304
Ag 1.031 -3.695 -3.868
Ag -0.032 -3.368 1.635
Ag -1.351 -5.277 0.070
Ag 2.313 -6.190 -4.406
Ag -0.315 -7.936 -0.061
```

As for the total magnetic moment: 0.000 μB/f.u. The theoretical density comes out at 9.16 g/cm3.



Least stable structure: Q



--- P ---
Here is a relaxed structure of ErCdAg6 from the Alexandria database. Energies are from PBE.

Geometry as extended XYZ:
```
8
Lattice="5.427 0.000 1.212 2.578 4.776 1.212 1.027 0.613 8.156" Properties=species:S:1:pos:R:3 pbc="T T T"
Er 4.516 2.694 5.291
Cd 0.000 0.000 0.000
Ag 0.839 0.500 2.668
Ag 2.119 2.871 3.270
Ag 5.499 4.888 7.311
Ag 6.914 2.517 7.311
Ag 8.194 4.888 7.913
Ag 3.533 0.500 3.270
```

As for the total magnetic moment: 0.000 μB/f.u. The theoretical density comes out at 7.57 g/cm3.



--- Q ---
Here is a relaxed structure of ErCdAg6 from the Alexandria database. Energies are from PBE.

Geometry as extended XYZ:
```
8
Lattice="-1.193 4.973 -0.031 -2.738 1.201 -4.149 -6.914 0.042 2.556" Properties=species:S:1:pos:R:3 pbc="T T T"
Er 0.000 0.000 0.000
Cd -5.422 3.108 -0.812
Ag -3.556 0.862 -1.368
Ag -2.831 2.633 0.565
Ag -8.014 3.584 -2.188
Ag -7.288 5.354 -0.255
Ag -7.857 2.315 0.829
Ag -2.987 3.901 -2.452
```

As for the total magnetic moment: 0.000 μB/f.u. The theoretical density comes out at 8.88 g/cm3.



Least stable structure: P



--- P ---
Here is a relaxed structure of PrErCdAg from the Alexandria database. Energies are from PBE.

Geometry as extended XYZ:
```
4
Lattice="5.304 0.000 0.000 2.652 4.594 0.000 2.652 1.531 4.331" Properties=species:S:1:pos:R:3 pbc="T T T"
Pr 5.304 3.062 2.165
Cd 7.957 4.594 3.248
Ag 2.652 1.531 1.083
Er 0.000 0.000 0.000
```

As for the total magnetic moment: 0.000 μB/f.u. The theoretical density comes out at 8.32 g/cm3.



--- Q ---
Here is a relaxed structure of PrErCdAg from the Alexandria database. Energies are from PBE.

Geometry as extended XYZ:
```
4
Lattice="-3.382 0.553 -1.431 -1.042 -3.371 1.160 -2.308 2.987 6.607" Properties=species:S:1:pos:R:3 pbc="T T T"
Pr -1.989 2.574 5.694
Er -0.797 1.032 2.282
Cd -3.565 0.343 3.738
Ag -2.522 -1.008 0.752
```

As for the total magnetic moment: 0.262 μB/f.u. The theoretical density comes out at 8.36 g/cm3.



Least stable structure: P